DFT (GGA-PBE) results for crystalline NdYGa5 at its relaxed geometry.

```
data_NdYGa5
_cell_length_a 4.236
_cell_length_b 4.236
_cell_length_c 8.591
_cell_angle_alpha 90.00
_cell_angle_beta 90.00
_cell_angle_gamma 90.00
_symmetry_space_group_name_H-M 'P 4/m m m'
_symmetry_Int_Tables_number 123
_symmetry_space_group_name_Hall '-P 4 2'
loop_
_atom_site_label
_atom_site_type_symbol
_atom_site_fract_x
_atom_site_fract_y
_atom_site_fract_z
Nd1 Nd 0.000 0.000 0.000
Y1 Y 0.000 0.000 0.500
Ga1 Ga 0.000 0.500 0.252
Ga2 Ga 0.500 0.500 0.500
```



DFT (GGA-PBE) results for crystalline ZrBrCl2 at its relaxed geometry.

```
data_ZrBrCl2
_cell_length_a 11.464
_cell_length_b 6.819
_cell_length_c 6.119
_cell_angle_alpha 90.00
_cell_angle_beta 90.00
_cell_angle_gamma 90.00
_symmetry_space_group_name_H-M 'C m c m'
_symmetry_Int_Tables_number 63
_symmetry_space_group_name_Hall '-C 2c 2'
loop_
_atom_site_label
_atom_site_type_symbol
_atom_site_fract_x
_atom_site_fract_y
_atom_site_fract_z
Zr1 Zr 0.000 0.000 0.000
Br1 Br 0.000 0.328 0.250
Cl1 Cl 0.156 0.150 0.750
```



DFT (GGA-PBE) results for crystalline Sc2BeCu at its relaxed geometry.

```
data_Sc2BeCu
_cell_length_a 6.339
_cell_length_b 6.339
_cell_length_c 6.339
_cell_angle_alpha 90.00
_cell_angle_beta 90.00
_cell_angle_gamma 90.00
_symmetry_space_group_name_H-M 'F -4 3 m'
_symmetry_Int_Tables_number 216
_symmetry_space_group_name_Hall 'F -4 2 3'
loop_
_atom_site_label
_atom_site_type_symbol
_atom_site_fract_x
_atom_site_fract_y
_atom_site_fract_z
Sc1 Sc 0.000 0.000 0.000
Sc2 Sc 0.250 0.250 0.250
Be1 Be 0.000 0.000 0.500
Cu1 Cu 0.250 0.250 0.750
```



DFT (GGA-PBE) results for crystalline Zr2CoIr at its relaxed geometry.

```
data_Zr2CoIr
_cell_length_a 6.412
_cell_length_b 6.412
_cell_length_c 6.412
_cell_angle_alpha 90.00
_cell_angle_beta 90.00
_cell_angle_gamma 90.00
_symmetry_space_group_name_H-M 'F -4 3 m'
_symmetry_Int_Tables_number 216
_symmetry_space_group_name_Hall 'F -4 2 3'
loop_
_atom_site_label
_atom_site_type_symbol
_atom_site_fract_x
_atom_site_fract_y
_atom_site_fract_z
Zr1 Zr 0.000 0.000 0.000
Zr2 Zr 0.250 0.250 0.250
Co1 Co 0.000 0.000 0.500
Ir1 Ir 0.250 0.250 0.750
```



DFT (GGA-PBE) results for crystalline DyAgPbSe3 at its relaxed geometry.

The value obtained for the distance to the lowest polymorph of the same formula is 11 meV/atom.

```
data_DyAgPbSe3
_cell_length_a 4.114
_cell_length_b 13.830
_cell_length_c 10.654
_cell_angle_alpha 90.00
_cell_angle_beta 90.00
_cell_angle_gamma 90.00
_symmetry_space_group_name_H-M 'C m c m'
_symmetry_Int_Tables_number 63
_symmetry_space_group_name_Hall '-C 2c 2'
loop_
_atom_site_label
_atom_site_type_symbol
_atom_site_fract_x
_atom_site_fract_y
_atom_site_fract_z
Dy1 Dy 0.000 0.000 0.000
Ag1 Ag 0.000 0.467 0.250
Pb1 Pb 0.000 0.240 0.750
Se1 Se 0.000 0.090 0.250
Se2 Se 0.000 0.357 0.051
```



DFT (GGA-PBE) results for crystalline HoZrBe2Si2 at its relaxed geometry.

```
data_HoZrBe2Si2
_cell_length_a 3.7838
_cell_length_b 3.7838
_cell_length_c 7.6593
_cell_angle_alpha 90.00
_cell_angle_beta 90.00
_cell_angle_gamma 120.00
_symmetry_space_group_name_H-M 'P -3 m 1'
_symmetry_Int_Tables_number 164
_symmetry_space_group_name_Hall '-P 3 2"'
loop_
_atom_site_label
_atom_site_type_symbol
_atom_site_fract_x
_atom_site_fract_y
_atom_site_fract_z
Ho1 Ho 0.0000 0.0000 0.0000
Zr1 Zr 0.0000 0.0000 0.5000
Be1 Be 0.3333 0.6667 0.2684
Si1 Si 0.3333 0.6667 0.7388
```



no.,total moment (μB per formula unit),VASP energy (eV/atom)
1,0.00,-4.21
2,0.01,-5.08
3,0.88,-4.86
4,1.40,-8.53
5,0.00,-4.56
6,0.00,-5.94